Entry 1:
## Na3Hf3PdSe8 (PBE)

Data for a relaxed structure of Na3Hf3PdSe8.

Cell lengths 7.468, 7.809, 8.460 Å; angles 118.89, 90.00, 118.57 degrees
Element x y z (fractional)
Hf 0.500 0.000 0.500
Hf 0.000 0.500 0.500
Hf 0.500 0.500 0.500
Na 0.000 0.500 0.000
Na 0.000 0.000 0.000
Na 0.500 0.500 0.000
Se 0.776 0.023 0.295
Se 0.261 0.522 0.278
Se 0.224 0.977 0.705
Se 0.739 0.478 0.722
Se 0.283 0.565 0.747
Se 0.717 0.435 0.253
Se 0.753 0.977 0.705
Se 0.247 0.023 0.295
Pd 0.000 0.000 0.500

Results
As for the formation energy from raw total energies: -1.126 eV/atom. The space group is C2/m, No. 12. As for the crystal system: monoclinic. The value obtained for the total DFT energy (no corrections) is -0.20525 Ha/atom. For the total magnetic moment, the calculation gives 0.000 μB per atom. The density comes out at 6.2 g cm⁻³.

Entry 2:
## NaHfPdSe3 (PBE)

Data for a relaxed structure of NaHfPdSe3.

Cell lengths 3.797, 7.852, 9.589 Å; angles 106.74, 90.00, 90.00 degrees
Element x y z (fractional)
Se 0.750 0.423 0.129
Se 0.250 0.577 0.871
Se 0.750 0.912 0.150
Se 0.250 0.701 0.456
Se 0.750 0.299 0.544
Se 0.250 0.088 0.850
Hf 0.750 0.316 0.826
Hf 0.250 0.684 0.174
Pd 0.250 0.115 0.587
Pd 0.750 0.885 0.413
Na 0.250 0.226 0.273
Na 0.750 0.774 0.727

Results
As for the formation energy from raw total energies: -1.036 eV/atom. The space group is P2_1/m, No. 11. As for the crystal system: monoclinic. The value obtained for the total DFT energy (no corrections) is -0.20295 Ha/atom. For the total magnetic moment, the calculation gives 0.000 μB per atom. The density comes out at 6.6 g cm⁻³.

Entry 3:
## Na3Hf2PdSe6 (PBE)

Data for a relaxed structure of Na3Hf2PdSe6.

Cell lengths 6.764, 6.764, 7.397 Å; angles 99.77, 99.77, 118.81 degrees
Each line ends with the local moment (μB).
Element x y z (fractional)
Hf 0.335 0.665 0.000  0.03
Hf 0.665 0.335 0.000  0.03
Na 0.164 0.836 0.500  0.00
Na 0.500 0.500 0.500  0.00
Na 0.836 0.164 0.500  0.00
Se 0.282 0.282 0.769  0.01
Se 0.928 0.589 0.788  0.06
Se 0.411 0.072 0.212  0.06
Se 0.072 0.411 0.212  0.06
Se 0.589 0.928 0.788  0.06
Se 0.718 0.718 0.231  0.01
Pd 0.000 0.000 0.000  0.53

Results
As for the formation energy from raw total energies: -1.084 eV/atom. The space group is C2/m, No. 12. As for the crystal system: monoclinic. The value obtained for the total DFT energy (no corrections) is -0.19284 Ha/atom. For the total magnetic moment, the calculation gives 0.087 μB per atom. The density comes out at 6.0 g cm⁻³.

Entry 4:
## Na3Hf2Te6Pd (PBE)

Data for a relaxed structure of Na3Hf2Te6Pd.

Cell lengths 7.268, 7.268, 7.873 Å; angles 98.94, 98.94, 120.00 degrees
Element x y z (fractional)
Te 0.739 0.739 0.216
Te 0.597 0.929 0.787
Te 0.071 0.403 0.213
Te 0.929 0.597 0.787
Te 0.403 0.071 0.213
Te 0.261 0.261 0.784
Na 0.833 0.167 0.500
Na 0.167 0.833 0.500
Na 0.500 0.500 0.500
Hf 0.334 0.666 0.000
Hf 0.666 0.334 0.000
Pd 0.000 0.000 0.000

Results
As for the formation energy from raw total energies: -0.728 eV/atom. The space group is C2/m, No. 12. As for the crystal system: monoclinic. The value obtained for the total DFT energy (no corrections) is -0.17345 Ha/atom. For the total magnetic moment, the calculation gives 0.000 μB per atom. The density comes out at 6.3 g cm⁻³.

Entry 5:
## Na3Hf3Te8Pd (PBE)

Data for a relaxed structure of Na3Hf3Te8Pd.

Cell lengths 8.187, 8.189, 9.066 Å; angles 116.86, 90.00, 119.99 degrees
Element x y z (fractional)
Na 0.000 0.500 0.000
Na 0.000 0.000 0.000
Na 0.500 0.500 0.000
Hf 0.500 0.000 0.500
Hf 0.000 0.500 0.500
Hf 0.500 0.500 0.500
Te 0.259 0.518 0.278
Te 0.765 0.023 0.288
Te 0.235 0.470 0.712
Te 0.741 0.482 0.722
Te 0.258 0.023 0.288
Te 0.765 0.530 0.288
Te 0.742 0.977 0.712
Te 0.235 0.977 0.712
Pd 0.000 0.000 0.500

Results
As for the formation energy from raw total energies: -0.738 eV/atom. The space group is R-3m, No. 166. As for the crystal system: trigonal. The value obtained for the total DFT energy (no corrections) is -0.18428 Ha/atom. For the total magnetic moment, the calculation gives 0.000 μB per atom. The density comes out at 6.4 g cm⁻³.

Entry 6:
## NaHf2VPd (PBE)

Data for a relaxed structure of NaHf2VPd.

Cell lengths 5.074, 5.074, 4.940 Å; angles 90.00, 90.00, 90.00 degrees
Each line ends with the local moment (μB).
Element x y z (fractional)
Pd 0.000 0.000 0.000  0.01
V 0.000 0.000 0.500  2.34
Hf 0.500 0.000 0.000  -0.08
Hf 0.000 0.500 0.000  -0.08
Na 0.500 0.500 0.500  0.00

Results
As for the formation energy: 0.786 eV per atom. The space group is P4/mmm, No. 123. As for the crystal system: tetragonal. The value obtained for the total DFT energy (no corrections) is -0.23233 Ha/atom. For the total magnetic moment, the calculation gives 0.538 μB per atom. The density comes out at 7.0 g cm⁻³.

Entry 7:
## NaHf2PdW (PBE)

Data for a relaxed structure of NaHf2PdW.

Cell lengths 5.073, 4.863, 5.073 Å; angles 90.00, 90.00, 90.00 degrees
Each line ends with the local moment (μB).
Element x y z (fractional)
Hf 0.500 0.000 0.000  -0.03
Hf 0.000 0.000 0.500  -0.02
W 0.000 0.500 0.000  0.18
Na 0.500 0.500 0.500  0.00
Pd 0.000 0.000 0.000  0.00

Results
As for the formation energy: 1.139 eV per atom. The space group is P4/mmm, No. 123. As for the crystal system: tetragonal. The value obtained for the total DFT energy (no corrections) is -0.24751 Ha/atom. For the total magnetic moment, the calculation gives 0.029 μB per atom. The density comes out at 8.9 g cm⁻³.

Entry 8:
## NaYHfPd2 (PBE)

Data for a relaxed structure of NaYHfPd2.

Cell lengths 4.986, 5.540, 4.986 Å; angles 90.00, 90.00, 90.00 degrees
Element x y z (fractional)
Y 0.000 0.500 0.000
Na 0.500 0.500 0.500
Pd 0.500 0.000 0.000
Pd 0.000 0.000 0.500
Hf 0.000 0.000 0.000

Results
As for the formation energy: 0.417 eV per atom. The space group is P4/mmm, No. 123. As for the crystal system: tetragonal. The value obtained for the total DFT energy (no corrections) is -0.19138 Ha/atom. For the total magnetic moment, the calculation gives 0.000 μB per atom. The density comes out at 6.1 g cm⁻³.